*A*
The following is a GGA-PBE calculation of a relaxed structure of SrOsCl3, from Alexandria.

The total magnetization is 0.00 μB/f.u.

The structure belongs to space group Pm-3m (No. 221); the cell edges are 4.866, 4.866 and 4.866 Å and the angles 90.00°, 90.00° and 90.00°. The asymmetric unit holds Sr at (0.000, 0.000, 0.000), Os at (0.500, 0.500, 0.500) and Cl at (0.000, 0.500, 0.500).


*B*
The following is a GGA-PBE calculation of a relaxed structure of SrOsCl3, from Alexandria.

The total magnetization is 5.00 μB/f.u.

The structure belongs to space group Pm-3m (No. 221); the cell edges are 5.622, 5.622 and 5.622 Å and the angles 90.00°, 90.00° and 90.00°. The asymmetric unit holds Sr at (0.000, 0.000, 0.000), Os at (0.500, 0.500, 0.500) and Cl at (0.000, 0.000, 0.500).


Energies relative to the most stable structure are *A* 0.0; *B* 46.6, reported in kJ/mol of atoms.


*A*
The following is a GGA-PBE calculation of a relaxed structure of TaOsCl2, from Alexandria.

The total magnetization is 0.00 μB/f.u.

The structure belongs to space group Cm (No. 8); the cell edges are 5.525, 3.542 and 9.047 Å and the angles 90.00°, 97.37° and 90.00°. The asymmetric unit holds Ta at (0.000, 0.000, 0.000), Os at (0.145, 0.500, 0.179), Cl at (0.265, 0.000, 0.793) and Cl at (0.496, 0.000, 0.409).


*B*
The following is a GGA-PBE calculation of a relaxed structure of TaOsCl2, from Alexandria.

The total magnetization is 0.00 μB/f.u.

The structure belongs to space group Cmmm (No. 65); the cell edges are 5.644, 8.038 and 2.892 Å and the angles 90.00°, 90.00° and 90.00°. The asymmetric unit holds Ta at (0.000, 0.000, 0.000), Os at (0.000, 0.500, 0.000) and Cl at (0.250, 0.250, 0.500).


Energies relative to the most stable structure are *A* 0.0; *B* 154.0, reported in kJ/mol of atoms.


*A*
The following is a GGA-PBE calculation of a relaxed structure of TaOs2Cl, from Alexandria.

The total magnetization is 0.00 μB/f.u.

The structure belongs to space group F-43m (No. 216); the cell edges are 6.317, 6.317 and 6.317 Å and the angles 90.00°, 90.00° and 90.00°. The asymmetric unit holds Ta at (0.000, 0.000, 0.000), Os at (0.000, 0.000, 0.500), Os at (0.250, 0.250, 0.250) and Cl at (0.250, 0.250, 0.750).


*B*
The following is a GGA-PBE calculation of a relaxed structure of TaOs2Cl, from Alexandria.

The total magnetization is 0.00 μB/f.u.

The structure belongs to space group R-3m (No. 166, hexagonal axes); the cell edges are 3.0199, 3.0199 and 25.3161 Å and the angles 90.00°, 90.00° and 120.00°. The asymmetric unit holds Ta at (0.0000, 0.0000, 0.0000), Os at (0.0000, 0.0000, 0.2545) and Cl at (0.0000, 0.0000, 0.5000).


*C*
The following is a GGA-PBE calculation of a relaxed structure of TaOs2Cl, from Alexandria.

The total magnetization is 0.00 μB/f.u.

The structure belongs to space group R3m (No. 160, hexagonal axes); the cell edges are 2.8653, 2.8653 and 30.6488 Å and the angles 90.00°, 90.00° and 120.00°. The asymmetric unit holds Ta at (0.0000, 0.0000, 0.0000), Os at (0.0000, 0.0000, 0.4767), Os at (0.0000, 0.0000, 0.7445) and Cl at (0.0000, 0.0000, 0.2718).


*D*
The following is a GGA-PBE calculation of a relaxed structure of TaOs2Cl, from Alexandria.

The total magnetization is 0.00 μB/f.u.

The structure belongs to space group Cm (No. 8); the cell edges are 8.612, 2.871 and 5.491 Å and the angles 90.00°, 98.79° and 90.00°. The asymmetric unit holds Ta at (0.000, 0.000, 0.000), Os at (0.183, 0.500, 0.354), Os at (0.442, 0.000, 0.517) and Cl at (0.271, 0.000, 0.874).


Energies relative to the most stable structure are *A* 59.3; *B* 21.9; *C* 0.0; *D* 25.6, reported in kJ/mol of atoms.


*A*
The following is a GGA-PBE calculation of a relaxed structure of TaOs2Cl, from Alexandria.

The total magnetization is 0.00 μB/f.u.

The structure belongs to space group Pm (No. 6); the cell edges are 2.928, 3.666 and 7.821 Å and the angles 90.00°, 90.13° and 90.00°. The asymmetric unit holds Ta at (0.000, 0.000, 0.000), Os at (0.002, 0.000, 0.329), Os at (0.501, 0.500, 0.208) and Cl at (0.998, 0.500, 0.772).


*B*
The following is a GGA-PBE calculation of a relaxed structure of TaOs2Cl, from Alexandria.

The total magnetization is 0.00 μB/f.u.

The structure belongs to space group P4/mmm (No. 123); the cell edges are 4.576, 4.576 and 3.034 Å and the angles 90.00°, 90.00° and 90.00°. The asymmetric unit holds Ta at (0.000, 0.000, 0.000), Os at (0.000, 0.500, 0.500) and Cl at (0.500, 0.500, 0.000).


Energies relative to the most stable structure are *A* 0.0; *B* 73.2, reported in kJ/mol of atoms.


*A*
The following is a GGA-PBE calculation of a relaxed structure of TaOs2Cl, from Alexandria.

The total magnetization is 0.00 μB/f.u.

The structure belongs to space group Pmmm (No. 47); the cell edges are 2.874, 4.639 and 4.642 Å and the angles 90.00°, 90.00° and 90.00°. The asymmetric unit holds Ta at (0.000, 0.000, 0.000), Os at (0.000, 0.500, 0.500), Os at (0.500, 0.500, 0.000) and Cl at (0.500, 0.000, 0.500).


*B*
The following is a GGA-PBE calculation of a relaxed structure of TaOs2Cl, from Alexandria.

The total magnetization is 0.00 μB/f.u.

The structure belongs to space group I-4m2 (No. 119); the cell edges are 3.859, 3.859 and 8.495 Å and the angles 90.00°, 90.00° and 90.00°. The asymmetric unit holds Ta at (0.000, 0.000, 0.000), Os at (0.000, 0.000, 0.500), Os at (0.000, 0.500, 0.250) and Cl at (0.000, 0.500, 0.750).


Energies relative to the most stable structure are *A* 0.0; *B* 35.3, reported in kJ/mol of atoms.


*A*
The following is a GGA-PBE calculation of a relaxed structure of TaOs2Cl, from Alexandria.

The total magnetization is 0.29 μB/f.u.

The structure belongs to space group Cmm2 (No. 35); the cell edges are 2.897, 4.873 and 10.222 Å and the angles 90.00°, 90.00° and 90.00°. The asymmetric unit holds Ta at (0.000, 0.000, 0.000), Os at (0.000, 0.000, 0.442), Os at (0.000, 0.500, 0.231) and Cl at (0.000, 0.500, 0.801).


*B*
The following is a GGA-PBE calculation of a relaxed structure of TaOs2Cl, from Alexandria.

The total magnetization is 0.00 μB/f.u.

The structure belongs to space group Cmmm (No. 65); the cell edges are 5.914, 7.174 and 2.994 Å and the angles 90.00°, 90.00° and 90.00°. The asymmetric unit holds Ta at (0.000, 0.000, 0.000), Os at (0.250, 0.250, 0.500) and Cl at (0.000, 0.500, 0.000).


*C*
The following is a GGA-PBE calculation of a relaxed structure of TaOs2Cl, from Alexandria.

The total magnetization is 0.00 μB/f.u.

The structure belongs to space group P4mm (No. 99); the cell edges are 2.843, 2.843 and 9.146 Å and the angles 90.00°, 90.00° and 90.00°. The asymmetric unit holds Ta at (0.000, 0.000, 0.000), Os at (0.000, 0.000, 0.591), Os at (0.500, 0.500, 0.773) and Cl at (0.500, 0.500, 0.183).


*D*
The following is a GGA-PBE calculation of a relaxed structure of TaOs2Cl, from Alexandria.

The total magnetization is 0.00 μB/f.u.

The structure belongs to space group P4/mmm (No. 123); the cell edges are 3.133, 3.133 and 6.929 Å and the angles 90.00°, 90.00° and 90.00°. The asymmetric unit holds Ta at (0.000, 0.000, 0.000), Os at (0.500, 0.500, 0.216) and Cl at (0.000, 0.000, 0.500).


Energies relative to the most stable structure are *A* 28.1; *B* 69.6; *C* 0.0; *D* 23.7, reported in kJ/mol of atoms.


*A*
The following is a GGA-PBE calculation of a relaxed structure of TaOs2Cl, from Alexandria.

The total magnetization is 0.00 μB/f.u.

The structure belongs to space group C2/m (No. 12); the cell edges are 10.024, 2.870 and 4.391 Å and the angles 90.00°, 91.48° and 90.00°. The asymmetric unit holds Ta at (0.000, 0.000, 0.000), Os at (0.220, 0.500, 0.236) and Cl at (0.000, 0.500, 0.500).


*B*
The following is a GGA-PBE calculation of a relaxed structure of TaOs2Cl, from Alexandria.

The total magnetization is 0.00 μB/f.u.

The structure belongs to space group Cmmm (No. 65); the cell edges are 3.072, 4.886 and 8.827 Å and the angles 90.00°, 90.00° and 90.00°. The asymmetric unit holds Ta at (0.000, 0.000, 0.000), Os at (0.000, 0.500, 0.237) and Cl at (0.000, 0.000, 0.500).


Energies relative to the most stable structure are *A* 0.0; *B* 10.3, reported in kJ/mol of atoms.


*A*
The following is a GGA-PBE calculation of a relaxed structure of TaOs2Cl, from Alexandria.

The total magnetization is 0.00 μB/f.u.

The structure belongs to space group P2/m (No. 10); the cell edges are 2.910, 4.155 and 5.242 Å and the angles 90.00°, 104.36° and 90.00°. The asymmetric unit holds Ta at (0.000, 0.000, 0.000), Os at (0.356, 0.500, 0.736) and Cl at (0.000, 0.000, 0.500).


*B*
The following is a GGA-PBE calculation of a relaxed structure of TaOs2Cl, from Alexandria.

The total magnetization is 0.00 μB/f.u.

The structure belongs to space group Fm-3m (No. 225); the cell edges are 6.362, 6.362 and 6.362 Å and the angles 90.00°, 90.00° and 90.00°. The asymmetric unit holds Ta at (0.000, 0.000, 0.000), Os at (0.250, 0.250, 0.250) and Cl at (0.000, 0.000, 0.500).


*C*
The following is a GGA-PBE calculation of a relaxed structure of TaOs2Cl, from Alexandria.

The total magnetization is 0.00 μB/f.u.

The structure belongs to space group Pmm2 (No. 25); the cell edges are 2.883, 3.685 and 7.993 Å and the angles 90.00°, 90.00° and 90.00°. The asymmetric unit holds Ta at (0.000, 0.000, 0.000), Os at (0.000, 0.000, 0.677), Os at (0.500, 0.500, 0.795) and Cl at (0.500, 0.500, 0.213).


Energies relative to the most stable structure are *A* 14.9; *B* 56.1; *C* 0.0, reported in kJ/mol of atoms.


*A*
The following is a GGA-PBE calculation of a relaxed structure of TaOsCl, from Alexandria.

The total magnetization is 0.00 μB/f.u.

The structure belongs to space group P3m1 (No. 156); the cell edges are 2.9928, 2.9928 and 7.0176 Å and the angles 90.00°, 90.00° and 120.00°. The asymmetric unit holds Ta at (0.0000, 0.0000, 0.0000), Os at (0.6667, 0.3333, 0.7123) and Cl at (0.3333, 0.6667, 0.2668).


*B*
The following is a GGA-PBE calculation of a relaxed structure of TaOsCl, from Alexandria.

The total magnetization is 0.00 μB/f.u.

The structure belongs to space group P3m1 (No. 156); the cell edges are 4.2915, 4.2915 and 2.9871 Å and the angles 90.00°, 90.00° and 120.00°. The asymmetric unit holds Ta at (0.0000, 0.0000, 0.0000), Os at (0.3333, 0.6667, 0.4687) and Cl at (0.6667, 0.3333, 0.1234).


Energies relative to the most stable structure are *A* 0.0; *B* 27.3, reported in kJ/mol of atoms.


*A*
The following is a GGA-PBE calculation of a relaxed structure of TaOsCl, from Alexandria.

The total magnetization is 0.00 μB/f.u.

The structure belongs to space group Imm2 (No. 44); the cell edges are 2.990, 4.085 and 7.989 Å and the angles 90.00°, 90.00° and 90.00°. The asymmetric unit holds Ta at (0.000, 0.000, 0.000), Os at (0.000, 0.000, 0.342) and Cl at (0.000, 0.000, 0.673).


*B*
The following is a GGA-PBE calculation of a relaxed structure of TaOsCl, from Alexandria.

The total magnetization is 0.00 μB/f.u.

The structure belongs to space group I4mm (No. 107); the cell edges are 3.052, 3.052 and 12.876 Å and the angles 90.00°, 90.00° and 90.00°. The asymmetric unit holds Ta at (0.000, 0.000, 0.000), Os at (0.000, 0.000, 0.388) and Cl at (0.000, 0.000, 0.645).


*C*
The following is a GGA-PBE calculation of a relaxed structure of TaOsCl, from Alexandria.

The total magnetization is 0.00 μB/f.u.

The structure belongs to space group Fmm2 (No. 42); the cell edges are 3.142, 5.130 and 14.185 Å and the angles 90.00°, 90.00° and 90.00°. The asymmetric unit holds Ta at (0.000, 0.000, 0.000), Os at (0.000, 0.000, 0.364) and Cl at (0.000, 0.000, 0.645).


*D*
The following is a GGA-PBE calculation of a relaxed structure of TaOsCl, from Alexandria.

The total magnetization is 0.00 μB/f.u.

The structure belongs to space group F-43m (No. 216); the cell edges are 6.143, 6.143 and 6.143 Å and the angles 90.00°, 90.00° and 90.00°. The asymmetric unit holds Ta at (0.000, 0.000, 0.000), Os at (0.250, 0.250, 0.250) and Cl at (0.250, 0.250, 0.750).


Energies relative to the most stable structure are *A* 46.9; *B* 0.0; *C* 15.2; *D* 70.1, reported in kJ/mol of atoms.


*A*
The following is a GGA-PBE calculation of a relaxed structure of TaOs3Cl, from Alexandria.

The total magnetization is 0.00 μB/f.u.

The structure belongs to space group Pm-3m (No. 221); the cell edges are 4.349, 4.349 and 4.349 Å and the angles 90.00°, 90.00° and 90.00°. The asymmetric unit holds Ta at (0.000, 0.000, 0.000), Os at (0.000, 0.500, 0.500) and Cl at (0.500, 0.500, 0.500).


*B*
The following is a GGA-PBE calculation of a relaxed structure of TaOs3Cl, from Alexandria.

The total magnetization is 5.24 μB/f.u.

The structure belongs to space group Pm-3m (No. 221); the cell edges are 4.877, 4.877 and 4.877 Å and the angles 90.00°, 90.00° and 90.00°. The asymmetric unit holds Ta at (0.000, 0.000, 0.000), Os at (0.000, 0.000, 0.500) and Cl at (0.500, 0.500, 0.500).


Energies relative to the most stable structure are *A* 0.0; *B* 82.3, reported in kJ/mol of atoms.


*A*
The following is a GGA-PBE calculation of a relaxed structure of TbOsCl, from Alexandria.

The total magnetization is 0.00 μB/f.u.

The structure belongs to space group C2/m (No. 12); the cell edges are 6.853, 3.959 and 12.480 Å and the angles 90.00°, 105.81° and 90.00°. The asymmetric unit holds Tb at (0.229, 0.000, 0.290), Os at (0.150, 0.500, 0.467) and Cl at (0.172, 0.000, 0.847).


*B*
The following is a GGA-PBE calculation of a relaxed structure of TbOsCl, from Alexandria.

The total magnetization is 0.00 μB/f.u.

The structure belongs to space group R-3m (No. 166, hexagonal axes); the cell edges are 4.1312, 4.1312 and 32.4830 Å and the angles 90.00°, 90.00° and 120.00°. The asymmetric unit holds Tb at (0.0000, 0.0000, 0.0639), Os at (0.0000, 0.0000, 0.3392) and Cl at (0.0000, 0.0000, 0.2194).


Energies relative to the most stable structure are *A* 17.2; *B* 0.0, reported in kJ/mol of atoms.